# LiFe2Ru

A geometry-optimized LiFe2Ru structure (PBE-GGA, Alexandria via LeMat-Bulk).

Output
space-group type	No. 65
DFT formation energy	0.1896	eV/atom
total magnetic moment	5.096	Bohr magnetons per cell
N(E_F)	0.946	states/eV/atom

Lattice parameters (Å, degrees): 4.585 4.585 2.566 90.00 90.00 112.06
Each line ends with the local moment (μB).
Fractional coordinates of all 4 atoms:
Fe (0.000, 0.000, 0.000)  2.50
Fe (0.500, 0.500, 0.000)  2.50
Li (0.500, 0.000, 0.500)  -0.06
Ru (0.000, 0.500, 0.500)  0.15

=====

# Ho2TlNi

A geometry-optimized Ho2TlNi structure (PBE-GGA, Alexandria via LeMat-Bulk).

Output
space-group type	No. 166
DFT formation energy	-0.2795	eV/atom
total magnetic moment	0.000	Bohr magnetons per cell
N(E_F)	0.960	states/eV/atom

Lattice parameters (Å, degrees): 3.774 3.774 8.586 77.30 77.30 60.00
Fractional coordinates of all 4 atoms:
Ni (0.000, 0.000, 0.000)
Ho (0.731, 0.731, 0.807)
Tl (0.500, 0.500, 0.500)
Ho (0.269, 0.269, 0.193)